An optimized crystal structure of LaDyAsS, computed with PBE.

abc: 4.149 4.149 7.166
angles: 73.17 73.17 60.00
Atoms (fractional coordinates):
La: 0.001 0.001 0.998
Dy: 0.499 0.499 0.503
As: 0.245 0.245 0.266
S: 0.755 0.755 0.734

Space-group type: R3m
Density of states at the Fermi level, states/eV/cell: 1.93
Total magnetic moment, μB per cell: 0.00
VASP energy, eV per atom: -6.412
Crystal system: trigonal